CrNiPt2 (PBEsol, optimized geometry); volume = 156.5 Å³/cell; space group = R-3m (166); E_tot = -0.2806 hartree per atom; size of the total moment = 0.00 μB/cell; formation enthalpy at 0 K = -5.3 kJ per mole of atoms; DOS at the Fermi energy = 14.0 states/eV per cell
1.0
2.667 0.000 0.000
-1.334 2.310 0.000
0.000 0.000 25.400
Cr Ni Pt
3 3 6
Cartesian
0.000 0.000 0.000
0.000 1.540 16.933
1.334 0.770 8.467
0.000 0.000 12.700
0.000 1.540 4.233
1.334 0.770 21.166
0.000 0.000 6.368
0.000 0.000 19.031
0.000 1.540 10.565
0.000 1.540 23.302
1.334 0.770 2.098
1.334 0.770 14.835